Version a
DFT (PBE-GGA) results for NdY2Ho6 after structural relaxation.

## Properties
Total magnetic moment   0.0 μB per cell
DOS(E_F)   13.66 states/eV/cell

abc: 7.3704 7.3704 6.1129
angles: 90.00 90.00 120.00
With the nearest neighbours (Å) after each atom.
Space group P-3m1 (No. 164)
One atom of each set of equivalent atoms:
Nd (0.0000, 0.0000, 0.0000)  6 Ho 3.01
Y (0.3333, 0.6667, 0.7935)  12 Ho 3.55-3.74
Ho (0.1871, 0.3741, 0.3001)  1 Nd 3.01, 2 Ho 3.23

***

Version b
DFT (PBE-GGA) results for NdY2Ho6 after structural relaxation.

## Properties
Total magnetic moment   0.0 μB per cell
DOS(E_F)   30.47 states/eV/cell

abc: 5.6114 29.0964 3.4935
angles: 90.00 90.00 90.00
With the nearest neighbours (Å) after each atom.
Space group Cmmm (No. 65)
One atom of each set of equivalent atoms:
Nd (0.0000, 0.0000, 0.0000)  2 Nd 3.49, 12 Ho 3.69-3.71
Y (0.0000, 0.3330, 0.0000)  2 Y 3.49, 12 Ho 3.65-3.68
Ho (0.0000, 0.1124, 0.5000)  5 Ho 3.21-3.49
Ho (0.0000, 0.2228, 0.5000)  5 Ho 3.21-3.49
Ho (0.0000, 0.4436, 0.5000)  5 Ho 3.24-3.49

***

Last place for stability: version a

***

Version a
DFT (PBE-GGA) results for Nd6Y3Ho after structural relaxation.

## Properties
Total magnetic moment   0.0 μB per cell
DOS(E_F)   55.22 states/eV/cell

abc: 11.1744 19.5198 6.2934
angles: 90.00 90.00 90.00
With the nearest neighbours (Å) after each atom.
Space group Cmc2_1 (No. 36)
One atom of each set of equivalent atoms:
Nd (0.0000, 0.0410, 0.0000)  1 Ho 3.36, 2 Nd 3.53, 4 Y 3.55-3.67
Nd (0.0000, 0.2795, 0.7273)  4 Nd 3.16-3.54, 1 Ho 3.36, 1 Y 3.42
Nd (0.1674, 0.4570, 0.6231)  4 Y 3.53-3.74, 5 Nd 3.53-3.80
Nd (0.2346, 0.2896, 0.4477)  5 Nd 3.16-3.54, 1 Y 3.34, 2 Ho 3.38-3.50
Y (0.0000, 0.3859, 0.1582)  7 Nd 3.42-3.74, 1 Ho 3.63, 2 Y 3.77
Y (0.1678, 0.1125, 0.5494)  6 Nd 3.34-3.67, 1 Ho 3.35
Ho (0.0000, 0.2006, 0.2022)  3 Y 3.35-3.63, 7 Nd 3.36-3.65

***

Version b
DFT (PBE-GGA) results for Nd6Y3Ho after structural relaxation.

## Properties
Total magnetic moment   0.0 μB per cell
DOS(E_F)   29.73 states/eV/cell

abc: 11.8053 3.5867 17.0628
angles: 90.00 108.63 90.00
With the nearest neighbours (Å) after each atom.
Space group P2_1/m (No. 11)
One atom of each set of equivalent atoms:
Nd (0.1001, 0.2500, 0.2567)  4 Y 3.44-3.67, 8 Nd 3.59-3.82
Nd (0.1256, 0.2500, 0.6753)  3 Y 3.51-3.62, 2 Ho 3.54, 7 Nd 3.59-3.69
Nd (0.1535, 0.2500, 0.8944)  3 Y 3.48-3.68, 2 Ho 3.52, 7 Nd 3.59-3.73
Nd (0.3603, 0.7500, 0.6170)  1 Ho 3.52, 3 Y 3.56-3.61, 7 Nd 3.56-3.86
Nd (0.3650, 0.7500, 0.4093)  7 Nd 3.56-3.86, 4 Y 3.77-3.80
Nd (0.3999, 0.7500, 0.0415)  3 Y 3.48-3.59, 3 Ho 3.55-3.61, 6 Nd 3.59-3.65
Y (0.1208, 0.2500, 0.4684)  8 Nd 3.51-3.80, 4 Y 3.59-3.80
Y (0.1247, 0.7500, 0.0753)  6 Nd 3.48-3.68, 6 Y 3.57-3.70
Y (0.3669, 0.2500, 0.2153)  6 Nd 3.44-3.77, 1 Ho 3.52, 4 Y 3.57-3.59
Ho (0.3563, 0.7500, 0.8221)  8 Nd 3.52-3.61, 1 Y 3.52, 2 Ho 3.59

***

Last place for stability: version a